# NpScPb (PBE, relaxed)
data_NpScPb
_chemical_formula_sum 'Np4 Sc4 Pb4'
_cell_length_a 7.214
_cell_length_b 7.214
_cell_length_c 7.214
_cell_angle_alpha 90.00
_cell_angle_beta 90.00
_cell_angle_gamma 90.00
_symmetry_space_group_name_H-M 'F -4 3 m'
_symmetry_Int_Tables_number 216
_symmetry_space_group_name_Hall 'F -4 2 3'
loop_
_atom_site_label
_atom_site_fract_x
_atom_site_fract_y
_atom_site_fract_z
Np1 0.000 0.000 0.000
Sc1 0.000 0.000 0.500
Pb1 0.250 0.250 0.250
# **Distance to the lowest polymorph of the same formula**: 0.000 eV per atom
# **Calculated total energy**: -7.228 eV/atom